1.
Crystalline Zn2CdPd6 at its relaxed geometry, computed with PBE-GGA.

## Properties
The density comes out at 10.45 g/cm³. The calculated total energy comes out at -4.1729 eV/atom. Its energy of formation from the pure elements is -7.52 kcal/mol of atoms. The calculation puts the energy above the most stable polymorph in this dataset at 0.0326 eV/atom. Its total magnetic moment is 0.000 μB per formula unit.

CIF file:
```
data_Zn2CdPd6
_chemical_formula_sum 'Zn4 Cd2 Pd12'
_cell_length_a 7.696
_cell_length_b 4.451
_cell_length_c 8.180
_cell_angle_alpha 90.00
_cell_angle_beta 90.13
_cell_angle_gamma 90.00
_symmetry_space_group_name_H-M 'C 1 2/m 1'
_symmetry_Int_Tables_number 12
_symmetry_space_group_name_Hall '-C 2y'
loop_
_atom_site_label
_atom_site_fract_x
_atom_site_fract_y
_atom_site_fract_z
_atom_site_occupancy
Zn1 0.166 0.000 0.270 1
Cd1 0.000 0.500 0.500 1
Pd1 0.000 0.500 0.171 1
Pd2 0.167 0.000 0.616 1
Pd3 0.167 0.000 0.955 1
```


2.
Crystalline La2TbPr at its relaxed geometry, computed with PBE-GGA.

## Properties
The density comes out at 6.74 g/cm³. The calculated total energy comes out at -4.6490 eV/atom. Its energy of formation from the pure elements is 3.85 kcal/mol of atoms. The calculation puts the energy above the most stable polymorph in this dataset at 0.1559 eV/atom. Its total magnetic moment is 0.000 μB per formula unit.

CIF file:
```
data_La2TbPr
_chemical_formula_sum 'La6 Tb3 Pr3'
_cell_length_a 3.5818
_cell_length_b 3.5818
_cell_length_c 38.4159
_cell_angle_alpha 90.00
_cell_angle_beta 90.00
_cell_angle_gamma 120.00
_symmetry_space_group_name_H-M 'R -3 m'
_symmetry_Int_Tables_number 166
_symmetry_space_group_name_Hall '-R 3 2"'
loop_
_atom_site_label
_atom_site_fract_x
_atom_site_fract_y
_atom_site_fract_z
_atom_site_occupancy
La1 0.0000 0.0000 0.0866 1
Tb1 0.0000 0.0000 0.0000 1
Pr1 0.0000 0.0000 0.5000 1
```


3.
Crystalline MnSiNiAu at its relaxed geometry, computed with PBE-GGA.

## Properties
The density comes out at 10.61 g/cm³. The calculated total energy comes out at -6.1166 eV/atom. The calculation puts the energy above the most stable polymorph in this dataset at 0.0000 eV/atom. Its total magnetic moment is 2.600 μB per formula unit. The raw formation energy comes out at -204 meV/atom.

CIF file:
```
data_MnSiNiAu
_chemical_formula_sum 'Mn1 Si1 Ni1 Au1'
_cell_length_a 2.784
_cell_length_b 2.784
_cell_length_c 6.837
_cell_angle_alpha 90.00
_cell_angle_beta 90.00
_cell_angle_gamma 90.00
_symmetry_space_group_name_H-M 'P 4 m m'
_symmetry_Int_Tables_number 99
_symmetry_space_group_name_Hall 'P 4 -2'
loop_
_atom_site_label
_atom_site_fract_x
_atom_site_fract_y
_atom_site_fract_z
_atom_site_occupancy
Mn1 0.000 0.000 0.000 1
Si1 0.500 0.500 0.774 1
Ni1 0.000 0.000 0.586 1
Au1 0.500 0.500 0.291 1
```


4.
Crystalline Ba2SrHg2 at its relaxed geometry, computed with PBE-GGA.

## Properties
The density comes out at 5.37 g/cm³. The calculated total energy comes out at -1.3921 eV/atom. Its energy of formation from the pure elements is -3.83 kcal/mol of atoms. The calculation puts the energy above the most stable polymorph in this dataset at 0.2499 eV/atom. Its total magnetic moment is 0.000 μB per formula unit.

CIF file:
```
data_Ba2SrHg2
_chemical_formula_sum 'Ba4 Sr2 Hg4'
_cell_length_a 5.107
_cell_length_b 5.107
_cell_length_c 18.090
_cell_angle_alpha 90.00
_cell_angle_beta 90.00
_cell_angle_gamma 90.00
_symmetry_space_group_name_H-M 'I 4/m m m'
_symmetry_Int_Tables_number 139
_symmetry_space_group_name_Hall '-I 4 2'
loop_
_atom_site_label
_atom_site_fract_x
_atom_site_fract_y
_atom_site_fract_z
_atom_site_occupancy
Ba1 0.000 0.000 0.123 1
Sr1 0.000 0.000 0.500 1
Hg1 0.000 0.500 0.250 1
```


5.
Crystalline CoMoRh2 at its relaxed geometry, computed with PBE-GGA.

## Properties
The density comes out at 10.72 g/cm³. The calculated total energy comes out at -8.1459 eV/atom. Its energy of formation from the pure elements is 0.32 kcal/mol of atoms. The calculation puts the energy above the most stable polymorph in this dataset at 0.1280 eV/atom. Its total magnetic moment is 2.024 μB per formula unit.

CIF file:
```
data_CoMoRh2
_chemical_formula_sum 'Co3 Mo3 Rh6'
_cell_length_a 2.7313
_cell_length_b 2.7313
_cell_length_c 25.9548
_cell_angle_alpha 90.00
_cell_angle_beta 90.00
_cell_angle_gamma 120.00
_symmetry_space_group_name_H-M 'R -3 m'
_symmetry_Int_Tables_number 166
_symmetry_space_group_name_Hall '-R 3 2"'
loop_
_atom_site_label
_atom_site_fract_x
_atom_site_fract_y
_atom_site_fract_z
_atom_site_occupancy
Co1 0.0000 0.0000 0.0000 1
Mo1 0.0000 0.0000 0.5000 1
Rh1 0.0000 0.0000 0.2522 1
```


6.
Crystalline MnAs3Rh at its relaxed geometry, computed with PBE-GGA.

## Properties
The density comes out at 5.92 g/cm³. The calculated total energy comes out at -5.0083 eV/atom. Its energy of formation from the pure elements is 25.03 kcal/mol of atoms. Its total magnetic moment is 0.287 μB per formula unit.

CIF file:
```
data_MnAs3Rh
_chemical_formula_sum 'Mn1 As3 Rh1'
_cell_length_a 4.753
_cell_length_b 4.753
_cell_length_c 4.753
_cell_angle_alpha 90.00
_cell_angle_beta 90.00
_cell_angle_gamma 90.00
_symmetry_space_group_name_H-M 'P m -3 m'
_symmetry_Int_Tables_number 221
_symmetry_space_group_name_Hall '-P 4 2 3'
loop_
_atom_site_label
_atom_site_fract_x
_atom_site_fract_y
_atom_site_fract_z
_atom_site_occupancy
Mn1 0.000 0.000 0.000 1
As1 0.000 0.500 0.500 1
Rh1 0.500 0.500 0.500 1
```